Here is PrNdTh14 after structural relaxation from the Alexandria database. Energies are from PBE.

Lattice parameters (Å, degrees): 7.2050 7.2050 11.6525 90.00 90.00 120.14
Last column: nearest neighbours and their distance in Å.
Atoms (fractional coordinates):
1 Pr 0.5404 0.4596 0.5000  10 Th 3.58-3.63, 2 Nd 3.60
2 Nd 0.0405 0.9595 0.5000  10 Th 3.58-3.63, 2 Pr 3.60
3 Th 0.2086 0.7914 0.0000  12 Th 3.55-3.60
4 Th 0.7086 0.2914 0.0000  12 Th 3.55-3.60
5 Th 0.0431 0.4573 0.5000  2 Pr 3.58-3.63, 2 Nd 3.58-3.63, 8 Th 3.59-3.61
6 Th 0.2085 0.2914 0.0000  12 Th 3.55-3.60
7 Th 0.5427 0.9569 0.5000  2 Pr 3.58-3.63, 2 Nd 3.58-3.63, 8 Th 3.59-3.61
8 Th 0.7086 0.7915 0.0000  12 Th 3.55-3.60
9 Th 0.3753 0.1244 0.7529  10 Th 3.55-3.62, 1 Nd 3.61, 1 Pr 3.61
10 Th 0.3753 0.1244 0.2471  10 Th 3.55-3.62, 1 Nd 3.61, 1 Pr 3.61
11 Th 0.8756 0.6247 0.7529  10 Th 3.55-3.62, 1 Nd 3.61, 1 Pr 3.61
12 Th 0.8756 0.6247 0.2471  10 Th 3.55-3.62, 1 Nd 3.61, 1 Pr 3.61
13 Th 0.3743 0.6257 0.7520  11 Th 3.55-3.62, 1 Pr 3.60
14 Th 0.3743 0.6257 0.2480  11 Th 3.55-3.62, 1 Pr 3.60
15 Th 0.8744 0.1256 0.7517  11 Th 3.56-3.61, 1 Nd 3.59
16 Th 0.8744 0.1256 0.2483  11 Th 3.56-3.61, 1 Nd 3.59

Values from the calculation:
calculated formation energy: 0.04 eV per atom
uncorrected energy: -7.0441 eV per atom
SG: Amm2
density of states at the Fermi level: 19.58 states/eV/cell



Here is Pr4Nd3Th2 after structural relaxation from the Alexandria database. Energies are from PBE.

Lattice parameters (Å, degrees): 6.4329 10.1162 10.1309 83.82 98.44 98.43
Last column: nearest neighbours and their distance in Å.
Atoms (fractional coordinates):
1 Pr 0.5145 0.8714 0.2950  1 Th 3.49, 3 Nd 3.50-3.68, 3 Pr 3.52-3.80
2 Pr 0.9878 0.7056 0.1265  3 Nd 3.49-3.68, 1 Th 3.49, 3 Pr 3.51-3.80
3 Pr 0.4854 0.1286 0.7050  1 Th 3.49, 3 Nd 3.50-3.68, 3 Pr 3.52-3.80
4 Pr 0.0122 0.2944 0.8735  3 Nd 3.49-3.68, 1 Th 3.49, 3 Pr 3.51-3.80
5 Pr 0.8755 0.1341 0.4935  2 Pr 3.33-3.52, 3 Th 3.40-3.56, 1 Nd 3.67
6 Pr 0.6244 0.5064 0.8659  2 Pr 3.33-3.51, 3 Th 3.40-3.56, 1 Nd 3.67
7 Pr 0.1245 0.8659 0.5065  2 Pr 3.33-3.52, 3 Th 3.40-3.56, 1 Nd 3.67
8 Pr 0.3756 0.4936 0.1341  2 Pr 3.33-3.51, 3 Th 3.40-3.56, 1 Nd 3.67
9 Nd 0.9948 0.0451 0.1638  2 Th 3.34-3.58, 3 Pr 3.49-3.68, 3 Nd 3.55-3.59
10 Nd 0.5052 0.8367 0.9543  2 Th 3.35-3.57, 3 Pr 3.50-3.68, 3 Nd 3.54-3.59
11 Nd 0.0052 0.9549 0.8362  2 Th 3.34-3.58, 3 Pr 3.49-3.68, 3 Nd 3.55-3.59
12 Nd 0.4948 0.1633 0.0457  2 Th 3.35-3.57, 3 Pr 3.50-3.68, 3 Nd 3.54-3.59
13 Nd 0.2500 0.5311 0.4687  2 Nd 3.32-3.33, 4 Th 3.60-3.62, 2 Pr 3.67
14 Nd 0.7500 0.4689 0.5313  2 Nd 3.32-3.33, 4 Th 3.60-3.62, 2 Pr 3.67
15 Th 0.3679 0.2227 0.3638  4 Nd 3.34-3.62, 4 Pr 3.40-3.56, 2 Th 3.74
16 Th 0.1324 0.6356 0.7770  4 Nd 3.35-3.62, 4 Pr 3.40-3.56, 2 Th 3.74
17 Th 0.6321 0.7773 0.6362  4 Nd 3.34-3.62, 4 Pr 3.40-3.56, 2 Th 3.74
18 Th 0.8676 0.3644 0.2230  4 Nd 3.35-3.62, 4 Pr 3.40-3.56, 2 Th 3.74

Values from the calculation:
energy above the lowest structure with this stoichiometry: 0.0489 eV per atom
calculated formation energy: 0.14 eV per atom
uncorrected energy: -5.2188 eV per atom
SG: P-1
density of states at the Fermi level: 29.21 states/eV/cell



Here is Pr5Nd4Th after structural relaxation from the Alexandria database. Energies are from PBE.

Lattice parameters (Å, degrees): 3.5920 11.2885 9.4028 73.16 101.01 90.00
Last column: nearest neighbours and their distance in Å.
Atoms (fractional coordinates):
1 Pr 0.7948 0.5987 0.5895  7 Pr 3.50-3.83, 2 Nd 3.52-3.60
2 Pr 0.8964 0.2829 0.7927  3 Nd 3.45-3.67, 5 Pr 3.50-3.83, 2 Th 3.67
3 Pr 0.1036 0.7171 0.2073  3 Nd 3.45-3.67, 5 Pr 3.50-3.83, 2 Th 3.67
4 Pr 0.5000 0.5000 0.0000  6 Pr 3.59-3.96, 4 Nd 3.85
5 Pr 0.2052 0.4013 0.4105  7 Pr 3.50-3.83, 2 Nd 3.52-3.60
6 Nd 0.3044 0.0833 0.6088  1 Th 3.45, 3 Pr 3.52-3.67, 7 Nd 3.59-3.75
7 Nd 0.9080 0.8098 0.8159  4 Pr 3.45-3.85, 2 Th 3.59, 5 Nd 3.59-3.75
8 Nd 0.6956 0.9167 0.3912  1 Th 3.45, 3 Pr 3.52-3.67, 7 Nd 3.59-3.75
9 Nd 0.0920 0.1902 0.1841  4 Pr 3.45-3.85, 2 Th 3.59, 5 Nd 3.59-3.75
10 Th 0.5000 0.0000 0.0000  6 Nd 3.45-3.59, 2 Th 3.59, 4 Pr 3.67

Values from the calculation:
energy above the lowest structure with this stoichiometry: 0.0556 eV per atom
calculated formation energy: 0.08 eV per atom
uncorrected energy: -4.9549 eV per atom
SG: C2/m
density of states at the Fermi level: 13.96 states/eV/cell



Here is Pr3Nd3Th2 after structural relaxation from the Alexandria database. Energies are from PBE.

Lattice parameters (Å, degrees): 5.9669 6.2022 8.7777 69.26 70.04 89.71
Last column: nearest neighbours and their distance in Å.
Atoms (fractional coordinates):
1 Pr 0.1364 0.6876 0.7259  4 Th 3.45-3.66, 3 Nd 3.47-3.66, 1 Pr 3.49
2 Pr 0.8636 0.3124 0.2741  4 Th 3.45-3.66, 3 Nd 3.47-3.66, 1 Pr 3.49
3 Pr 0.0000 0.0000 0.0000  2 Pr 3.49, 4 Nd 3.65, 2 Th 3.85
4 Nd 0.6363 0.0868 0.7281  4 Th 3.45-3.67, 3 Pr 3.47-3.65, 1 Nd 3.49
5 Nd 0.5000 0.5000 0.0000  2 Nd 3.49, 4 Pr 3.66, 2 Th 3.84
6 Nd 0.3637 0.9132 0.2719  4 Th 3.45-3.67, 3 Pr 3.47-3.65, 1 Nd 3.49
7 Th 0.2508 0.3197 0.4994  5 Nd 3.45-3.84, 5 Pr 3.45-3.85, 2 Th 3.73-3.74
8 Th 0.7492 0.6803 0.5006  5 Nd 3.45-3.84, 5 Pr 3.45-3.85, 2 Th 3.73-3.74

Values from the calculation:
calculated formation energy: 0.11 eV per atom
uncorrected energy: -5.3203 eV per atom
SG: P-1
density of states at the Fermi level: 12.27 states/eV/cell



Here is Pr2NdTh4 after structural relaxation from the Alexandria database. Energies are from PBE.

Lattice parameters (Å, degrees): 3.6056 3.6048 18.4970 90.00 95.59 90.00
Last column: nearest neighbours and their distance in Å.
Atoms (fractional coordinates):
1 Pr 0.7946 0.5000 0.5893  4 Th 3.58, 6 Pr 3.60-3.75
2 Pr 0.2054 0.5000 0.4107  4 Th 3.58, 6 Pr 3.60-3.75
3 Nd 0.5000 0.0000 0.0000  4 Nd 3.60-3.61, 8 Th 3.67
4 Th 0.9283 0.5000 0.8566  8 Th 3.51-3.61, 4 Nd 3.67
5 Th 0.6372 0.0000 0.2744  8 Th 3.51-3.61, 4 Pr 3.58
6 Th 0.0717 0.5000 0.1434  8 Th 3.51-3.61, 4 Nd 3.67
7 Th 0.3628 0.0000 0.7256  8 Th 3.51-3.61, 4 Pr 3.58

Values from the calculation:
calculated formation energy: 0.08 eV per atom
uncorrected energy: -6.2090 eV per atom
SG: Cmmm
density of states at the Fermi level: 11.17 states/eV/cell



Here is Pr6NdTh after structural relaxation from the Alexandria database. Energies are from PBE.

Lattice parameters (Å, degrees): 6.9041 6.7119 6.9990 90.48 60.45 90.97
Last column: nearest neighbours and their distance in Å.
Atoms (fractional coordinates):
1 Pr 0.0854 0.7472 0.4915  6 Pr 3.32-3.69, 1 Nd 3.71, 1 Th 3.71
2 Pr 0.5768 0.7472 0.5085  6 Pr 3.32-3.69, 1 Nd 3.71, 1 Th 3.71
3 Pr 0.4232 0.2528 0.4915  6 Pr 3.32-3.69, 1 Nd 3.71, 1 Th 3.71
4 Pr 0.9146 0.2528 0.5085  6 Pr 3.32-3.69, 1 Nd 3.71, 1 Th 3.71
5 Pr 0.5391 0.7431 0.0000  4 Pr 3.30-3.50, 1 Nd 3.59, 1 Th 3.60
6 Pr 0.4609 0.2569 0.0000  4 Pr 3.30-3.50, 1 Nd 3.59, 1 Th 3.60
7 Nd 0.0000 0.0000 0.0000  2 Th 3.36, 6 Pr 3.59-3.71
8 Th 0.0000 0.5000 0.0000  2 Nd 3.36, 6 Pr 3.60-3.71

Values from the calculation:
energy above the lowest structure with this stoichiometry: 0.1466 eV per atom
calculated formation energy: 0.18 eV per atom
uncorrected energy: -4.9258 eV per atom
SG: C2/m
density of states at the Fermi level: 12.45 states/eV/cell



What did the fourth record say?
Here is Pr3Nd3Th2 after structural relaxation from the Alexandria database. Energies are from PBE.

Lattice parameters (Å, degrees): 5.9669 6.2022 8.7777 69.26 70.04 89.71
Last column: nearest neighbours and their distance in Å.
Atoms (fractional coordinates):
1 Pr 0.1364 0.6876 0.7259  4 Th 3.45-3.66, 3 Nd 3.47-3.66, 1 Pr 3.49
2 Pr 0.8636 0.3124 0.2741  4 Th 3.45-3.66, 3 Nd 3.47-3.66, 1 Pr 3.49
3 Pr 0.0000 0.0000 0.0000  2 Pr 3.49, 4 Nd 3.65, 2 Th 3.85
4 Nd 0.6363 0.0868 0.7281  4 Th 3.45-3.67, 3 Pr 3.47-3.65, 1 Nd 3.49
5 Nd 0.5000 0.5000 0.0000  2 Nd 3.49, 4 Pr 3.66, 2 Th 3.84
6 Nd 0.3637 0.9132 0.2719  4 Th 3.45-3.67, 3 Pr 3.47-3.65, 1 Nd 3.49
7 Th 0.2508 0.3197 0.4994  5 Nd 3.45-3.84, 5 Pr 3.45-3.85, 2 Th 3.73-3.74
8 Th 0.7492 0.6803 0.5006  5 Nd 3.45-3.84, 5 Pr 3.45-3.85, 2 Th 3.73-3.74

Values from the calculation:
calculated formation energy: 0.11 eV per atom
uncorrected energy: -5.3203 eV per atom
SG: P-1
density of states at the Fermi level: 12.27 states/eV/cell



Q: The highest density of states at the Fermi level belongs to which entry?
A: Pr4Nd3Th2



Repeat the second record exactly.
Here is Pr4Nd3Th2 after structural relaxation from the Alexandria database. Energies are from PBE.

Lattice parameters (Å, degrees): 6.4329 10.1162 10.1309 83.82 98.44 98.43
Last column: nearest neighbours and their distance in Å.
Atoms (fractional coordinates):
1 Pr 0.5145 0.8714 0.2950  1 Th 3.49, 3 Nd 3.50-3.68, 3 Pr 3.52-3.80
2 Pr 0.9878 0.7056 0.1265  3 Nd 3.49-3.68, 1 Th 3.49, 3 Pr 3.51-3.80
3 Pr 0.4854 0.1286 0.7050  1 Th 3.49, 3 Nd 3.50-3.68, 3 Pr 3.52-3.80
4 Pr 0.0122 0.2944 0.8735  3 Nd 3.49-3.68, 1 Th 3.49, 3 Pr 3.51-3.80
5 Pr 0.8755 0.1341 0.4935  2 Pr 3.33-3.52, 3 Th 3.40-3.56, 1 Nd 3.67
6 Pr 0.6244 0.5064 0.8659  2 Pr 3.33-3.51, 3 Th 3.40-3.56, 1 Nd 3.67
7 Pr 0.1245 0.8659 0.5065  2 Pr 3.33-3.52, 3 Th 3.40-3.56, 1 Nd 3.67
8 Pr 0.3756 0.4936 0.1341  2 Pr 3.33-3.51, 3 Th 3.40-3.56, 1 Nd 3.67
9 Nd 0.9948 0.0451 0.1638  2 Th 3.34-3.58, 3 Pr 3.49-3.68, 3 Nd 3.55-3.59
10 Nd 0.5052 0.8367 0.9543  2 Th 3.35-3.57, 3 Pr 3.50-3.68, 3 Nd 3.54-3.59
11 Nd 0.0052 0.9549 0.8362  2 Th 3.34-3.58, 3 Pr 3.49-3.68, 3 Nd 3.55-3.59
12 Nd 0.4948 0.1633 0.0457  2 Th 3.35-3.57, 3 Pr 3.50-3.68, 3 Nd 3.54-3.59
13 Nd 0.2500 0.5311 0.4687  2 Nd 3.32-3.33, 4 Th 3.60-3.62, 2 Pr 3.67
14 Nd 0.7500 0.4689 0.5313  2 Nd 3.32-3.33, 4 Th 3.60-3.62, 2 Pr 3.67
15 Th 0.3679 0.2227 0.3638  4 Nd 3.34-3.62, 4 Pr 3.40-3.56, 2 Th 3.74
16 Th 0.1324 0.6356 0.7770  4 Nd 3.35-3.62, 4 Pr 3.40-3.56, 2 Th 3.74
17 Th 0.6321 0.7773 0.6362  4 Nd 3.34-3.62, 4 Pr 3.40-3.56, 2 Th 3.74
18 Th 0.8676 0.3644 0.2230  4 Nd 3.35-3.62, 4 Pr 3.40-3.56, 2 Th 3.74

Values from the calculation:
energy above the lowest structure with this stoichiometry: 0.0489 eV per atom
calculated formation energy: 0.14 eV per atom
uncorrected energy: -5.2188 eV per atom
SG: P-1
density of states at the Fermi level: 29.21 states/eV/cell



Q: Which of these has the lowest uncorrected energy?
A: PrNdTh14